DFT (PBE) results for a relaxed structure of MgRe2Ag.

a b c (Å): 3.022 3.022 7.387
angles (deg): 90.00 90.00 90.00
Space group P4mm (No. 99)
Inequivalent atoms, fractional coordinates:
1 Mg 0.000 0.000 0.000 (multiplicity 1)
2 Re 0.000 0.000 0.455 (multiplicity 1)
3 Re 0.500 0.500 0.265 (multiplicity 1)
4 Ag 0.500 0.500 0.739 (multiplicity 1)

Values from the calculation:
* formation energy from the elements: 0.2010 eV per atom
* final energy: -28.54 eV/cell
* V: 67.5 Å³ per cell
* DOS(E_F): 3.3 states/eV/f.u.